Cu2NiPt4: optimized geometry, GGA-PBE. Values from VASP.

Total moment = 0.27 μB per formula unit
N(E_F) = 1.1364 states/eV/atom
Space-group type = Cccm
Formation energy = 84.3 meV/atom

```
&SYSTEM
  ibrav = 0, nat = 14, ntyp = 3
/
ATOMIC_SPECIES
Pt 195.08 Pt.upf
Cu 63.55 Cu.upf
Ni 58.69 Ni.upf
ATOMIC_POSITIONS crystal
Pt 0.2645 0.5228 0.0000
Pt 0.5000 0.0000 0.7635
Pt 0.5228 0.2645 0.5000
Pt 0.0000 0.5000 0.2635
Pt 0.5000 0.0000 0.2365
Pt 0.4772 0.7355 0.5000
Pt 0.7355 0.4772 0.0000
Pt 0.0000 0.5000 0.7365
Cu 0.7772 0.0015 0.0000
Cu 0.0015 0.7772 0.5000
Cu 0.2228 0.9985 0.0000
Cu 0.9985 0.2228 0.5000
Ni 0.5000 0.5000 0.7500
Ni 0.5000 0.5000 0.2500
CELL_PARAMETERS angstrom
5.3334 -0.3244 0.0000
-2.4489 4.7491 0.0000
0.0000 -0.0001 8.8562
```